No. 1
La2CdIn, optimized geometry, DFT PBE; total magnetic moment = 0.000 μB/atom; calculated total energy = -3.808 eV/atom; crystal system = cubic; formation energy = -0.431 eV/atom; mass density = 6.799 g/cm3; SG = Fm-3m (225)
1.0
0.0000 3.9509 3.9509
3.9509 0.0000 3.9509
3.9509 3.9509 0.0000
La Cd In
2 1 1
direct
0.2500 0.2500 0.2500
0.7500 0.7500 0.7500
0.0000 0.0000 0.0000
0.5000 0.5000 0.5000


No. 2
Nd2CdBiO6, optimized geometry, DFT PBE; total magnetic moment = 0.000 μB/atom; calculated total energy = -6.561 eV/atom; crystal system = trigonal; mass density = 7.297 g/cm3; raw formation energy = -2.15 eV per atom; SG = R3 (146)
1.0
2.9925 1.7277 5.1780
-2.9925 1.7277 5.1780
0.0000 -3.4555 5.1780
Nd Cd Bi O
2 1 1 6
direct
0.0000 0.0000 0.0000
0.4993 0.4993 0.4993
0.2225 0.2225 0.2225
0.7158 0.7158 0.7158
0.0902 0.4190 0.8283
0.3367 0.9044 0.6035
0.4190 0.8283 0.0902
0.6035 0.3367 0.9044
0.8283 0.0902 0.4190
0.9044 0.6035 0.3367


No. 3
ErTm2ThSc, optimized geometry, DFT PBE; total magnetic moment = 0.001 μB/atom; calculated total energy = -5.416 eV/atom; crystal system = monoclinic; formation energy = 0.035 eV/atom; mass density = 8.705 g/cm3; SG = P2_1/m (11)
1.0
6.0813 0.0000 0.0000
0.0000 5.5883 0.0000
-3.0219 0.0000 8.7805
Er Tm Th Sc
2 4 2 2
direct
0.2352 0.2500 0.3070
0.7648 0.7500 0.6930
0.0363 0.2500 0.8974
0.4223 0.2500 0.6958
0.5777 0.7500 0.3042
0.9637 0.7500 0.1026
0.3698 0.7500 0.8996
0.6302 0.2500 0.1004
0.1670 0.7500 0.5050
0.8330 0.2500 0.4950


No. 4
Ba2CdAgN, optimized geometry, DFT PBE; total magnetic moment = 0.000 μB/atom; calculated total energy = -2.751 eV/atom; crystal system = tetragonal; energy relative to the lowest polymorph listed for this composition = 562.7 meV/atom; mass density = 4.813 g/cm3; raw formation energy = 0.44 eV per atom; SG = P4/mmm (123)
1.0
6.5212 0.0000 0.0000
0.0000 6.5212 0.0000
0.0000 0.0000 4.1290
Ba Cd Ag N
2 1 1 1
direct
0.0000 0.5000 0.0000
0.5000 0.0000 0.0000
0.0000 0.0000 0.0000
0.5000 0.5000 0.5000
0.0000 0.0000 0.5000


No. 5
LiThNiPt, optimized geometry, DFT PBE; total magnetic moment = 0.000 μB/atom; calculated total energy = -5.822 eV/atom; crystal system = cubic; formation energy = -0.533 eV/atom; mass density = 10.722 g/cm3; SG = F-43m (216)
1.0
0.0000 3.3666 3.3666
3.3666 0.0000 3.3666
3.3666 3.3666 0.0000
Li Th Ni Pt
1 1 1 1
direct
0.0000 0.0000 0.0000
0.5000 0.5000 0.5000
0.2500 0.2500 0.2500
0.7500 0.7500 0.7500


No. 6
ReBi, optimized geometry, DFT PBE; total magnetic moment = 0.629 μB/atom; calculated total energy = -6.205 eV/atom; crystal system = cubic; formation energy = 1.960 eV/atom; energy relative to the lowest polymorph listed for this composition = 1402.7 meV/atom; mass density = 10.799 g/cm3; SG = F-43m (216)
1.0
0.0000 3.1204 3.1204
3.1204 0.0000 3.1204
3.1204 3.1204 0.0000
Re Bi
1 1
direct
0.0000 0.0000 0.0000
0.7500 0.7500 0.7500


No. 7
Sm4ThAl, optimized geometry, DFT PBE; total magnetic moment = 0.000 μB/atom; calculated total energy = -5.101 eV/atom; crystal system = tetragonal; formation energy = -0.094 eV/atom; mass density = 7.724 g/cm3; SG = P4/mmm (123)
1.0
3.5905 0.0000 0.0000
0.0000 3.5905 0.0000
0.0000 0.0000 14.3495
Sm Th Al
4 1 1
direct
0.0000 0.0000 0.1353
0.0000 0.0000 0.8647
0.5000 0.5000 0.3294
0.5000 0.5000 0.6706
0.0000 0.0000 0.5000
0.5000 0.5000 0.0000


No. 8
TcHgGe, optimized geometry, DFT PBE; total magnetic moment = 0.000 μB/atom; calculated total energy = -5.015 eV/atom; crystal system = tetragonal; formation energy = 0.080 eV/atom; mass density = 10.493 g/cm3; SG = P4/nmm (129)
1.0
2.9699 0.0000 0.0000
0.0000 2.9699 0.0000
0.0000 0.0000 13.3206
Tc Hg Ge
2 2 2
direct
0.2500 0.2500 0.0602
0.7500 0.7500 0.9398
0.2500 0.2500 0.3908
0.7500 0.7500 0.6092
0.2500 0.2500 0.8107
0.7500 0.7500 0.1893


Among the records above, which one has the highest total magnetic moment? ReBi


Which of these has the highest mass density? ReBi


total magnetic moment of number 2 (Nd2CdBiO6)? 0.000 μB/atom


Among the records above, which one has the highest total magnetic moment? ReBi